No. 1
TiIr3Pd | PBE-GGA | relaxed

It has space group Pm-3m (No. 221), with a = 4.545 Å, b = 4.545 Å, c = 4.545 Å, α = 90.00°, β = 90.00° and γ = 90.00°. The distinct sites, in fractional coordinates, are Ti at (0.000, 0.000, 0.000), Ir at (0.000, 0.000, 0.500) and Pd at (0.500, 0.500, 0.500).

The value obtained for the density of states at the Fermi level is 10.6 states/eV/cell. For the energy above the most stable polymorph in this dataset, the calculation gives 0 meV/atom. Its formation energy from the elements is 1.213 eV per atom. Its magnetic moment is 1.19 μB/cell.

=====

No. 2
Ti3Ir2Pd | PBE-GGA | relaxed

It has space group P4/mmm (No. 123), with a = 2.918 Å, b = 2.918 Å, c = 10.810 Å, α = 90.00°, β = 90.00° and γ = 90.00°. The distinct sites, in fractional coordinates, are Ti at (0.000, 0.000, 0.000), Ti at (0.000, 0.000, 0.322), Ir at (0.500, 0.500, 0.160) and Pd at (0.500, 0.500, 0.500).

The value obtained for the density of states at the Fermi level is 6.6 states/eV/cell. Its formation energy from the elements is -0.748 eV per atom. Its magnetic moment is 0.56 μB/cell.

=====

No. 3
Ti4Ir3Pd | PBE-GGA | relaxed

It has space group Pmma (No. 51), with a = 9.060 Å, b = 5.792 Å, c = 4.649 Å, α = 90.00°, β = 90.00° and γ = 90.00°. The distinct sites, in fractional coordinates, are Ti at (0.000, 0.245, 0.000), Ti at (0.250, 0.247, 0.420), Ir at (0.000, 0.000, 0.500), Ir at (0.250, 0.000, 0.904), Ir at (0.250, 0.500, 0.920) and Pd at (0.000, 0.500, 0.500).

The value obtained for the density of states at the Fermi level is 14.6 states/eV/cell. Its formation energy from the elements is -0.764 eV per atom. Its magnetic moment is 0.00 μB/cell.

=====

No. 4
Ti2IrPd2 | PBE-GGA | relaxed

It has space group Ibam (No. 72), with a = 5.920 Å, b = 10.956 Å, c = 5.240 Å, α = 90.00°, β = 90.00° and γ = 90.00°. The distinct sites, in fractional coordinates, are Ti at (0.205, 0.164, 0.000), Ir at (0.000, 0.000, 0.250) and Pd at (0.136, 0.390, 0.000).

The value obtained for the density of states at the Fermi level is 19.4 states/eV/cell. For the energy above the most stable polymorph in this dataset, the calculation gives 180 meV/atom. Its formation energy from the elements is -0.425 eV per atom. Its magnetic moment is 0.00 μB/cell.